1.
ScPt2W (PBE, optimized geometry); space group = Cm (8); ΔE_f = -0.52 eV per atom; V = 67 Å³ per cell
1.0
4.938 0.003 -0.003
4.117 2.727 -0.003
0.668 0.201 4.947
Pt Sc W
2 1 1
Cartesian
9.066 2.733 0.191
7.277 2.194 3.563
4.844 1.460 2.652
2.454 0.740 1.001

2.
ScPt2W (PBE, optimized geometry); space group = C2/m (12); ΔE_f = -0.27 eV per atom; V = 67 Å³ per cell
1.0
4.875 -0.002 0.010
4.049 2.715 0.010
0.795 0.242 5.046
Pt Sc W
2 1 1
Cartesian
8.893 2.703 0.076
4.891 1.487 2.477
7.290 2.216 3.799
2.430 0.739 1.266

3.
ScPt3W (PBE, optimized geometry); space group = Pm-3m (221); energy above the lowest structure with this stoichiometry = 0.0000 eV/atom; ΔE_f = 0.48 eV per atom; V = 114 Å³ per cell
1.0
4.846 0.000 0.000
0.000 4.846 0.000
0.000 0.000 4.846
Sc W Pt
1 1 3
Cartesian
2.423 2.423 2.423
0.000 0.000 0.000
0.000 2.423 0.000
0.000 0.000 2.423
2.423 0.000 0.000

4.
ScPt2W (PBE, optimized geometry); space group = R-3m (166); ΔE_f = -0.25 eV per atom; V = 67 Å³ per cell
1.0
9.358 0.019 0.011
8.906 2.872 0.011
8.906 1.410 2.502
Pt Sc W
2 1 1
Cartesian
0.023 0.004 0.002
13.562 2.147 1.260
6.793 1.075 0.631
20.378 3.225 1.893

5.
ScPt2W (PBE, optimized geometry); space group = R3m (160); ΔE_f = -0.17 eV per atom; V = 68 Å³ per cell
1.0
9.338 0.028 0.017
8.873 2.910 0.017
8.873 1.432 2.534
Pt Sc W
2 1 1
Cartesian
0.077 0.012 0.007
6.734 1.087 0.638
13.594 2.194 1.288
20.221 3.263 1.916

6.
ScPt2W (PBE, optimized geometry); space group = F-43m (216); ΔE_f = -0.25 eV per atom; V = 66 Å³ per cell
1.0
4.533 0.000 0.000
2.267 3.926 0.000
2.267 1.309 3.701
Pt Sc W
2 1 1
Cartesian
0.000 0.000 0.000
2.267 1.309 0.925
4.533 2.617 1.851
6.800 3.926 2.776

7.
ScPt2W (PBE, optimized geometry); space group = Imm2 (44); ΔE_f = -0.37 eV per atom; V = 68 Å³ per cell
1.0
5.743 0.009 -0.001
3.059 4.861 0.001
-3.765 -3.585 2.442
Pt Sc W
2 1 1
Cartesian
0.035 0.020 0.000
3.300 -0.510 1.220
4.424 2.448 0.000
1.679 1.762 1.221

8.
ScPt2W (PBE, optimized geometry); space group = P4/mmm (123); ΔE_f = -0.46 eV per atom; V = 65 Å³ per cell
1.0
4.030 0.000 0.000
0.000 4.032 0.000
0.000 0.000 4.024
Pt Sc W
2 1 1
Cartesian
0.000 0.000 0.000
2.015 2.016 0.000
2.015 0.000 2.012
0.000 2.016 2.012

Question: Number 5 is which compound?
Answer: ScPt2W